Entry 1:
Below is PmCdCu after structural relaxation, with properties calculated at the PBE level.

Results
Volume (Å³/atom): 26.94
E (eV for the cell shown): -8.4
Crystal system: cubic
Space group: No. 216
Total magnetic moment (μB/f.u.): 0.0
Formation energy (eV/atom): 0.303

a b c (Å): 4.853 4.853 4.853
angles (deg): 60.00 60.00 60.00
Fractional coordinates of all 3 atoms:
Cd1 0.250 0.250 0.250
Cu1 0.750 0.750 0.750
Pm1 0.000 0.000 0.000

Entry 2:
Below is AgBiBr2O after structural relaxation, with properties calculated at the PBE level.

Results
Volume (Å³/atom): 24.08
E (eV for the cell shown): -36.5
Crystal system: orthorhombic
Space group: No. 63

a b c (Å): 7.267 7.267 9.145
angles (deg): 90.00 90.00 150.09
Fractional coordinates of all 10 atoms:
Ag1 0.000 0.000 0.000
Ag2 0.000 0.000 0.500
Bi1 0.687 0.313 0.250
Bi2 0.313 0.687 0.750
Br1 0.359 0.641 0.063
Br2 0.359 0.641 0.437
Br3 0.641 0.359 0.563
Br4 0.641 0.359 0.937
O1 0.104 0.896 0.250
O2 0.896 0.104 0.750

Entry 3:
Below is Cs2LiTmI6 after structural relaxation, with properties calculated at the PBE level.

Results
Volume (Å³/atom): 43.19
E (eV for the cell shown): -31.6
Crystal system: tetragonal
Space group: No. 139
Total magnetic moment (μB/f.u.): 0.0

a b c (Å): 8.487 8.487 8.487
angles (deg): 120.05 120.05 89.91
Fractional coordinates of all 10 atoms:
Cs1 0.750 0.250 0.500
Cs2 0.250 0.750 0.500
I1 0.249 0.249 0.000
I2 0.750 0.250 0.000
I3 0.250 0.750 0.000
I4 0.751 0.751 0.000
I5 0.250 0.250 0.499
I6 0.750 0.750 0.501
Li1 0.500 0.500 0.000
Tm1 0.000 0.000 0.000

Entry 4:
Below is NbPdPt after structural relaxation, with properties calculated at the PBE level.

Results
Volume (Å³/atom): 19.20
E (eV for the cell shown): -21.4
Crystal system: cubic
Space group: No. 216
Total magnetic moment (μB/f.u.): 0.0
Polymorph energy (0 for the lowest one) (eV per atom): 0.578
Formation energy (eV/atom): -0.027

a b c (Å): 4.335 4.335 4.335
angles (deg): 60.00 60.00 60.00
Fractional coordinates of all 3 atoms:
Nb1 0.250 0.250 0.250
Pd1 0.750 0.750 0.750
Pt1 0.000 0.000 0.000

Entry 5:
Below is ZrCdAs3 after structural relaxation, with properties calculated at the PBE level.

Results
Volume (Å³/atom): 23.85
E (eV for the cell shown): -23.9
Crystal system: triclinic
Space group: No. 1
Total magnetic moment (μB/f.u.): 0.0

a b c (Å): 2.879 6.915 6.916
angles (deg): 60.02 89.89 89.81
Fractional coordinates of all 5 atoms:
As1 0.800 0.364 0.051
As2 0.801 0.585 0.364
As3 0.798 0.050 0.586
Cd1 0.762 0.000 0.000
Zr1 0.300 0.666 0.667

Entry 6:
Below is GdIrPb2O6 after structural relaxation, with properties calculated at the PBE level.

Results
Volume (Å³/atom): 14.10
E (eV for the cell shown): -66.2
Crystal system: triclinic
Space group: No. 2
Total magnetic moment (μB/f.u.): 1.0
Polymorph energy (0 for the lowest one) (eV per atom): 0.000

a b c (Å): 5.752 5.793 5.872
angles (deg): 90.78 118.66 119.61
Site moments in Bohr magnetons follow the coordinates.
Fractional coordinates of all 10 atoms:
Gd1 0.000 0.500 0.000  0.01
Ir1 0.000 0.000 0.500  0.52
O1 0.917 0.772 0.185  0.08
O2 0.532 0.822 0.320  0.04
O3 0.018 0.295 0.327  0.04
O4 0.982 0.705 0.673  0.04
O5 0.468 0.178 0.680  0.04
O6 0.083 0.228 0.815  0.08
Pb1 0.517 0.252 0.274  0.01
Pb2 0.483 0.748 0.726  0.01

Entry 7:
Below is Sc3TcO after structural relaxation, with properties calculated at the PBE level.

Results
Volume (Å³/atom): 16.21
E (eV for the cell shown): -40.5
Crystal system: cubic
Space group: No. 221
Total magnetic moment (μB/f.u.): 0.0
Polymorph energy (0 for the lowest one) (eV per atom): 0.086

a b c (Å): 4.328 4.328 4.328
angles (deg): 90.00 90.00 90.00
Fractional coordinates of all 5 atoms:
O1 0.000 0.000 0.000
Sc1 0.500 0.000 0.000
Sc2 0.000 0.500 0.000
Sc3 0.000 0.000 0.500
Tc1 0.500 0.500 0.500

Entry 8:
Below is PrSmZnIr2 after structural relaxation, with properties calculated at the PBE level.

Results
Volume (Å³/atom): 21.41
E (eV for the cell shown): -31.7
Crystal system: orthorhombic
Space group: No. 44
Total magnetic moment (μB/f.u.): 0.0
Formation energy (eV/atom): -0.657

a b c (Å): 5.619 5.619 5.619
angles (deg): 135.41 117.42 80.05
Fractional coordinates of all 5 atoms:
Ir1 0.763 0.500 0.264
Ir2 0.236 0.500 0.736
Pr1 0.200 0.200 0.000
Sm1 0.801 0.801 0.000
Zn1 0.500 0.000 0.500